Entry 1:
VASP calculation (PBE-GGA) on crystalline SrPdO at its relaxed geometry.

Structure (CIF):
```
data_SrPdO
_cell_length_a 3.960
_cell_length_b 5.337
_cell_length_c 5.337
_cell_angle_alpha 89.57
_cell_angle_beta 90.00
_cell_angle_gamma 90.00
_symmetry_space_group_name_H-M 'P 1'
_symmetry_Int_Tables_number 1
loop_
_symmetry_equiv_pos_as_xyz
'x,y,z'
loop_
_atom_site_label
_atom_site_type_symbol
_atom_site_fract_x
_atom_site_fract_y
_atom_site_fract_z
Sr1 Sr 0.000 0.218 0.782
Sr2 Sr 0.000 0.782 0.218
Pd1 Pd 0.500 0.321 0.321
Pd2 Pd 0.500 0.677 0.677
O1 O 0.000 0.725 0.725
O2 O 0.500 0.048 0.048
```

Values from the calculation:
energy relative to the elements, uncorrected: -4.3 eV per formula unit
E: -16.12 eV per formula unit
crystal system: orthorhombic


Entry 2:
VASP calculation (PBE-GGA) on crystalline SrPdO at its relaxed geometry.

Structure (CIF):
```
data_SrPdO
_cell_length_a 6.542
_cell_length_b 6.542
_cell_length_c 5.457
_cell_angle_alpha 113.42
_cell_angle_beta 113.42
_cell_angle_gamma 32.73
_symmetry_space_group_name_H-M 'P 1'
_symmetry_Int_Tables_number 1
loop_
_symmetry_equiv_pos_as_xyz
'x,y,z'
loop_
_atom_site_label
_atom_site_type_symbol
_atom_site_fract_x
_atom_site_fract_y
_atom_site_fract_z
Sr1 Sr 0.000 0.000 0.000
Sr2 Sr 0.207 0.207 0.735
Pd1 Pd 0.472 0.472 0.487
Pd2 Pd 0.776 0.776 0.309
O1 O 0.391 0.391 0.082
O2 O 0.614 0.614 0.886
```

Values from the calculation:
energy relative to the elements, uncorrected: -3.9 eV per formula unit
E: -15.75 eV per formula unit
crystal system: monoclinic


Entry 3:
VASP calculation (PBE-GGA) on crystalline SrPdO2 at its relaxed geometry.

Structure (CIF):
```
data_SrPdO2
_cell_length_a 7.014
_cell_length_b 7.014
_cell_length_c 7.014
_cell_angle_alpha 140.91
_cell_angle_beta 140.91
_cell_angle_gamma 56.48
_symmetry_space_group_name_H-M 'P 1'
_symmetry_Int_Tables_number 1
loop_
_symmetry_equiv_pos_as_xyz
'x,y,z'
loop_
_atom_site_label
_atom_site_type_symbol
_atom_site_fract_x
_atom_site_fract_y
_atom_site_fract_z
Sr1 Sr 0.000 0.000 0.000
Sr2 Sr 0.750 0.250 0.500
Pd1 Pd 0.250 0.750 0.500
Pd2 Pd 0.500 0.500 0.000
O1 O 0.196 0.625 0.071
O2 O 0.375 0.446 0.571
O3 O 0.554 0.125 0.929
O4 O 0.875 0.804 0.429
```

Values from the calculation:
energy relative to the elements, uncorrected: -5.0 eV per formula unit
E: -21.75 eV per formula unit
crystal system: tetragonal


Entry 4:
VASP calculation (PBE-GGA) on crystalline Sr3PdO4 at its relaxed geometry.

Structure (CIF):
```
data_Sr3PdO4
_cell_length_a 5.358
_cell_length_b 5.358
_cell_length_c 5.358
_cell_angle_alpha 109.47
_cell_angle_beta 109.47
_cell_angle_gamma 109.47
_symmetry_space_group_name_H-M 'P 1'
_symmetry_Int_Tables_number 1
loop_
_symmetry_equiv_pos_as_xyz
'x,y,z'
loop_
_atom_site_label
_atom_site_type_symbol
_atom_site_fract_x
_atom_site_fract_y
_atom_site_fract_z
Sr1 Sr 0.000 0.500 0.500
Sr2 Sr 0.500 0.000 0.500
Sr3 Sr 0.500 0.500 0.000
Pd1 Pd 0.000 0.000 0.000
O1 O 0.000 0.000 0.434
O2 O 0.000 0.434 0.000
O3 O 0.434 0.000 0.000
O4 O 0.566 0.566 0.566
```

Values from the calculation:
energy relative to the elements, uncorrected: -13.6 eV per formula unit
E: -43.69 eV per formula unit
crystal system: cubic


Entry 5:
VASP calculation (PBE-GGA) on crystalline SrPdO2 at its relaxed geometry.

Structure (CIF):
```
data_SrPdO2
_cell_length_a 4.263
_cell_length_b 4.263
_cell_length_c 4.263
_cell_angle_alpha 60.00
_cell_angle_beta 60.00
_cell_angle_gamma 60.00
_symmetry_space_group_name_H-M 'P 1'
_symmetry_Int_Tables_number 1
loop_
_symmetry_equiv_pos_as_xyz
'x,y,z'
loop_
_atom_site_label
_atom_site_type_symbol
_atom_site_fract_x
_atom_site_fract_y
_atom_site_fract_z
Sr1 Sr 0.000 0.000 0.000
Pd1 Pd 0.500 0.500 0.500
O1 O 0.250 0.250 0.250
O2 O 0.750 0.750 0.750
```

Values from the calculation:
energy relative to the elements, uncorrected: -4.0 eV per formula unit
E: -20.83 eV per formula unit
crystal system: cubic


Entry 6:
VASP calculation (PBE-GGA) on crystalline SrPdO at its relaxed geometry.

Structure (CIF):
```
data_SrPdO
_cell_length_a 4.038
_cell_length_b 4.038
_cell_length_c 9.669
_cell_angle_alpha 108.59
_cell_angle_beta 108.59
_cell_angle_gamma 50.51
_symmetry_space_group_name_H-M 'P 1'
_symmetry_Int_Tables_number 1
loop_
_symmetry_equiv_pos_as_xyz
'x,y,z'
loop_
_atom_site_label
_atom_site_type_symbol
_atom_site_fract_x
_atom_site_fract_y
_atom_site_fract_z
Sr1 Sr 0.000 0.000 0.000
Sr2 Sr 0.585 0.585 0.665
Pd1 Pd 0.199 0.199 0.408
Pd2 Pd 0.444 0.444 0.258
O1 O 0.256 0.256 0.872
O2 O 0.833 0.833 0.553
```

Values from the calculation:
energy relative to the elements, uncorrected: -4.1 eV per formula unit
E: -15.91 eV per formula unit
crystal system: monoclinic


Going through the records in order, we get Fermi-level density of states values of 0.000; 0.311; 0.005; 0.437; 0.431; 0.299 states/eV/atom.